--- i ---
First-principles (PBE) data for a relaxed structure of Sm2DyBi, as listed in Alexandria.

Summary:
- Volume: 125.0 Å³/cell
- Size of the total moment: 0.0 μB/f.u.

```
Sm2DyBi
1.0
4.2790 0.0000 0.0000
0.0000 4.2790 0.0000
0.0000 0.0000 6.8294
Sm Dy Bi
2 1 1
Direct
0.0000 0.0000 0.2379
0.0000 0.0000 0.7621
0.5000 0.5000 0.5000
0.5000 0.5000 0.0000
```

***

--- ii ---
First-principles (PBE) data for a relaxed structure of Sm2DyBi, as listed in Alexandria.

Summary:
- Volume: 140.5 Å³/cell
- Size of the total moment: 0.8 μB/f.u.

```
Sm2DyBi
1.0
2.0529 1.1853 9.6210
-2.0529 1.1853 9.6210
0.0000 -2.3705 9.6210
Sm Dy Bi
2 1 1
Direct
0.0000 0.0000 0.0000
0.1915 0.1915 0.1915
0.4291 0.4291 0.4291
0.5955 0.5955 0.5955
```

***

What should be chosen as the least stable of them? Choose ii.

***

--- i ---
First-principles (PBE) data for a relaxed structure of Dy2SnBi, as listed in Alexandria.

Summary:
- Volume: 115.8 Å³/cell
- Size of the total moment: 0.0 μB/f.u.

```
Dy2SnBi
1.0
4.3158 0.0000 0.0000
0.0000 4.5650 0.0000
-2.1652 0.0000 5.8763
Dy Sn Bi
2 1 1
Direct
0.0000 0.0000 0.0000
0.2534 0.5000 0.5093
0.7357 0.0000 0.4755
0.5242 0.5000 0.0482
```

***

--- ii ---
First-principles (PBE) data for a relaxed structure of Dy2SnBi, as listed in Alexandria.

Summary:
- Volume: 125.3 Å³/cell
- Size of the total moment: 0.0 μB/f.u.

```
Dy2SnBi
1.0
2.1239 1.2262 8.0169
-2.1239 1.2262 8.0169
0.0000 -2.4524 8.0169
Dy Sn Bi
2 1 1
Direct
0.0000 0.0000 0.0000
0.1712 0.1712 0.1712
0.7535 0.7535 0.7535
0.5841 0.5841 0.5841
```

***

--- iii ---
First-principles (PBE) data for a relaxed structure of Dy2SnBi, as listed in Alexandria.

Summary:
- Volume: 237.2 Å³/cell
- Size of the total moment: 0.0 μB/f.u.

```
Dy2SnBi
1.0
2.2589 -12.0232 0.0000
2.2589 12.0232 0.0000
0.0000 0.0000 4.3660
Dy Sn Bi
4 2 2
Direct
0.0613 0.9387 0.7500
0.3197 0.6803 0.7500
0.6803 0.3197 0.2500
0.9387 0.0613 0.2500
0.4536 0.5464 0.7500
0.5464 0.4536 0.2500
0.1890 0.8110 0.7500
0.8110 0.1890 0.2500
```

***

What should be chosen as the least stable of them? Choose ii.